Compound: TlCuCl3
Source: the Alexandria database
Functional: PBE-GGA
Structure: optimized geometry

Cell lengths 5.949, 5.949, 10.910 Å; angles 74.18, 74.18, 90.00 degrees
Fractional positions:
Tl1 0.250 0.750 0.500
Tl2 0.000 0.000 0.000
Cl1 0.094 0.831 0.812
Cl2 0.094 0.357 0.812
Cl3 0.169 0.906 0.188
Cl4 0.643 0.906 0.188
Cl5 0.705 0.705 0.590
Cl6 0.295 0.295 0.410
Cu1 0.692 0.192 0.616
Cu2 0.808 0.308 0.384

Properties
Symmetry   I-4m2
Raw formation energy   -0.091 eV per atom